Zr2ZnPt after structural relaxation. Source: Alexandria, functional PBE-GGA.

Values from the calculation:
N(E_F) = 3.63 states/eV/f.u.
space-group type = No. 71
calculated formation energy = -0.06 eV per atom

Lattice parameters (Å, degrees): 7.7267 7.7267 7.7267 37.10 153.66 154.35
Last column: nearest neighbours and their distance in Å.
Sites, in units of the cell vectors:
Pt  0.0000  0.5000  0.5000  4 Zn 2.46, 2 Zr 2.68
Zr  0.0000  0.6829  0.6829  1 Pt 2.68
Zr  0.0000  0.3171  0.3171  1 Pt 2.68
Zn  0.0000  0.0000  0.0000  4 Pt 2.46



AcY2HoSe6 after structural relaxation. Source: Alexandria, functional PBE-GGA.

Values from the calculation:
N(E_F) = 0.00 states/eV/f.u.
space-group type = No. 146
ΔE_f (raw) = -1.882 eV/atom

Lattice parameters (Å, degrees): 7.3796 7.3797 7.7860 61.71 61.71 60.00
Last column: nearest neighbours and their distance in Å.
Sites, in units of the cell vectors:
Se  0.1509  0.3750  0.7463  2 Y 2.83-2.90, 1 Ho 2.89, 1 Ac 3.05
Se  0.7278  0.1508  0.7464  2 Y 2.83-2.90, 1 Ho 2.89, 1 Ac 3.05
Ac  0.8051  0.8051  0.5848  6 Se 3.05-3.19
Se  0.9161  0.6096  0.2440  2 Y 2.86-2.91, 1 Ho 2.87, 1 Ac 3.19
Se  0.2304  0.9160  0.2440  2 Y 2.86-2.91, 1 Ho 2.87, 1 Ac 3.19
Ho  0.3186  0.3186  0.0442  6 Se 2.87-2.89
Y  0.0104  0.0104  0.9688  6 Se 2.83-2.91
Se  0.3749  0.7278  0.7463  2 Y 2.83-2.90, 1 Ho 2.89, 1 Ac 3.05
Se  0.6096  0.2304  0.2440  2 Y 2.86-2.91, 1 Ho 2.87, 1 Ac 3.19
Y  0.5179  0.5179  0.4464  6 Se 2.86-2.90



CuTe after structural relaxation. Source: Alexandria, functional PBE-GGA.

Values from the calculation:
N(E_F) = 1.47 states/eV/f.u.
space-group type = No. 83
ΔE_f (raw) = 0.022 eV/atom

Lattice parameters (Å, degrees): 10.3763 10.3763 4.0726 90.00 90.00 90.00
Last column: nearest neighbours and their distance in Å.
Sites, in units of the cell vectors:
Cu  0.1742  0.3594  0.5000  4 Te 2.57-2.65, 2 Cu 2.67
Te  0.7495  0.3966  0.5000  4 Cu 2.56-2.65
Cu  0.6406  0.1742  0.5000  4 Te 2.57-2.65, 2 Cu 2.67
Cu  0.8731  0.4814  0.0000  4 Te 2.56-2.63, 3 Cu 2.66-2.67
Te  0.9636  0.7126  0.0000  4 Cu 2.58-2.63
Te  0.6034  0.7495  0.5000  4 Cu 2.56-2.65
Te  0.3966  0.2505  0.5000  4 Cu 2.56-2.65
Te  0.2505  0.6034  0.5000  4 Cu 2.56-2.65
Te  0.0364  0.2874  0.0000  4 Cu 2.58-2.63
Cu  0.5186  0.8731  0.0000  4 Te 2.56-2.63, 3 Cu 2.66-2.67
Te  0.7126  0.0364  0.0000  4 Cu 2.58-2.63
Cu  0.8258  0.6406  0.5000  4 Te 2.57-2.65, 2 Cu 2.67
Cu  0.4814  0.1269  0.0000  4 Te 2.56-2.63, 3 Cu 2.66-2.67
Cu  0.1269  0.5186  0.0000  4 Te 2.56-2.63, 3 Cu 2.66-2.67
Te  0.2874  0.9636  0.0000  4 Cu 2.58-2.63
Cu  0.3594  0.8258  0.5000  4 Te 2.57-2.65, 2 Cu 2.67



CoBiS2N after structural relaxation. Source: Alexandria, functional PBE-GGA.

Values from the calculation:
ΔE to the lowest computed polymorph = 1312.3 meV/atom
N(E_F) = 7.48 states/eV/f.u.
space-group type = No. 123
ΔE_f (raw) = 1.542 eV/atom

Lattice parameters (Å, degrees): 5.2386 5.2386 4.1499 90.00 90.00 90.00
Last column: nearest neighbours and their distance in Å.
Sites, in units of the cell vectors:
S  0.5000  0.0000  0.0000  2 Bi 2.62
Co  0.5000  0.5000  0.5000  8 S 3.34, 4 N 3.70
N  0.0000  0.0000  0.5000  2 Bi 2.07
Bi  0.0000  0.0000  0.0000  2 N 2.07
S  0.0000  0.5000  0.0000  2 Bi 2.62



no.,DFT total energy (eV per formula unit)
1,-24.654
2,-61.345
3,-7.194
4,-19.855